# CsSrGa2I8 | Alexandria via LeMat-Bulk | GGA-PBE | relaxed
data_CsSrGa2I8
_cell_length_a 7.6881
_cell_length_b 7.6881
_cell_length_c 33.5136
_cell_angle_alpha 90.00
_cell_angle_beta 90.00
_cell_angle_gamma 120.00
_space_group_name_H-M_alt 'R -3'
_space_group_IT_number 148
_space_group_name_Hall '-R 3'
loop_
_atom_site_label
_atom_site_fract_x
_atom_site_fract_y
_atom_site_fract_z
Cs1 0.0000 0.0000 0.0000
Sr1 0.0000 0.0000 0.5000
Ga1 0.0000 0.0000 0.2505
I1 0.0000 0.0000 0.3290
I2 0.0072 0.3205 0.8923
# * energy relative to the elements, uncorrected: -0.894 eV/atom
# * calculated density: 4.0 Mg/m³
# * M_tot: 0.0 Bohr magnetons per cell